{
  "formula": "P2OsRhCl",
  "functional": "GGA-PBEsol",
  "state": "optimized geometry",
  "magmom_total_mub_per_cell": 2.2,
  "total_energy_ev_per_atom": -5.48,
  "dos_ef_per_ev_fu": 2.93,
  "cell": [[4.488, 0.000, 0.000], [0.000, 4.488, 0.000], [0.000, 0.000, 4.523]],
  "species": ["Os", "Rh", "P", "P", "Cl"],
  "fractional_positions": [[0.500, 0.500, 0.500], [0.000, 0.000, 0.000], [0.000, 0.500, 0.000], [0.500, 0.000, 0.000], [0.000, 0.000, 0.500]]
}